Entry 1:
Compound: Pa2TiCuN5
Source: the Alexandria database
Functional: GGA-PBE
Structure: optimized geometry

Properties
- Size of the total moment: 0.0 μB/f.u.
- Formation energy (no corrections): -1.12 eV/atom

Geometry as CIF:
```
data_Pa2TiCuN5
_chemical_formula_sum 'Pa8 Ti4 Cu4 N20'
_cell_length_a 3.2718
_cell_length_b 13.0505
_cell_length_c 9.9465
_cell_angle_alpha 90.00
_cell_angle_beta 90.00
_cell_angle_gamma 90.00
_symmetry_space_group_name_H-M 'C m c 21'
_symmetry_Int_Tables_number 36
loop_
_symmetry_equiv_pos_as_xyz
'x,y,z'
'-x,-y,z+1/2'
'-x,y,z'
'x,-y,z+1/2'
'x+1/2,y+1/2,z'
'-x+1/2,-y+1/2,z+1/2'
'-x+1/2,y+1/2,z'
'x+1/2,-y+1/2,z+1/2'
loop_
_atom_site_label
_atom_site_fract_x
_atom_site_fract_y
_atom_site_fract_z
Pa1 0.0000 0.1131 0.0000
Pa2 0.0000 0.1364 0.6205
Ti1 0.0000 0.1954 0.3234
Cu1 0.0000 0.4764 0.7885
N1 0.0000 0.0531 0.3922
N2 0.0000 0.2865 0.9752
N3 0.0000 0.3061 0.6786
N4 0.0000 0.3548 0.3249
N5 0.0000 0.4927 0.0945
```



Entry 2:
Compound: KRbInHg2
Source: the Alexandria database
Functional: GGA-PBE
Structure: optimized geometry

Properties
- Size of the total moment: 0.0 μB/f.u.
- Formation energy: -0.042 eV per atom

Geometry as CIF:
```
data_KRbInHg2
_chemical_formula_sum 'K1 Rb1 In1 Hg2'
_cell_length_a 5.7881
_cell_length_b 5.7881
_cell_length_c 6.5386
_cell_angle_alpha 90.00
_cell_angle_beta 90.00
_cell_angle_gamma 90.00
_symmetry_space_group_name_H-M 'P 4/m m m'
_symmetry_Int_Tables_number 123
_symmetry_space_group_name_Hall '-P 4 2'
loop_
_atom_site_label
_atom_site_fract_x
_atom_site_fract_y
_atom_site_fract_z
K1 0.0000 0.0000 0.0000
Rb1 0.5000 0.5000 0.0000
In1 0.0000 0.0000 0.5000
Hg1 0.0000 0.5000 0.5000
```



Entry 3:
Compound: Ti2TeOsW
Source: the Alexandria database
Functional: GGA-PBE
Structure: optimized geometry

Properties
- Size of the total moment: 0.0 μB/f.u.
- Formation energy (no corrections): 1.55 eV/atom

Geometry as CIF:
```
data_Ti2TeOsW
_chemical_formula_sum 'Ti2 Te1 Os1 W1'
_cell_length_a 4.6883
_cell_length_b 4.6883
_cell_length_c 4.9891
_cell_angle_alpha 90.00
_cell_angle_beta 90.00
_cell_angle_gamma 90.00
_symmetry_space_group_name_H-M 'P 4/m m m'
_symmetry_Int_Tables_number 123
_symmetry_space_group_name_Hall '-P 4 2'
loop_
_atom_site_label
_atom_site_fract_x
_atom_site_fract_y
_atom_site_fract_z
Ti1 0.0000 0.5000 0.0000
Te1 0.0000 0.0000 0.5000
Os1 0.5000 0.5000 0.5000
W1 0.0000 0.0000 0.0000
```



Entry 4:
Compound: Sc2AuO2
Source: the Alexandria database
Functional: GGA-PBE
Structure: optimized geometry

Properties
- Energy above the lowest structure with this stoichiometry: 0.827 eV/atom
- Size of the total moment: 0.0 μB/f.u.
- Formation energy (no corrections): -1.69 eV/atom

Geometry as CIF:
```
data_Sc2AuO2
_chemical_formula_sum 'Sc4 Au2 O4'
_cell_length_a 7.0024
_cell_length_b 7.0024
_cell_length_c 2.8118
_cell_angle_alpha 90.00
_cell_angle_beta 90.00
_cell_angle_gamma 90.00
_symmetry_space_group_name_H-M 'P 4/m b m'
_symmetry_Int_Tables_number 127
_symmetry_space_group_name_Hall '-P 4 2ab'
loop_
_atom_site_label
_atom_site_fract_x
_atom_site_fract_y
_atom_site_fract_z
Sc1 0.1389 0.3611 0.0000
Au1 0.0000 0.0000 0.0000
O1 0.1209 0.6209 0.5000
```



Entry 5:
Compound: Ta2PO
Source: the Alexandria database
Functional: GGA-PBE
Structure: optimized geometry

Properties
- Size of the total moment: 0.0 μB/f.u.
- Formation energy (no corrections): -0.64 eV/atom

Geometry as CIF:
```
data_Ta2PO
_chemical_formula_sum 'Ta8 P4 O4'
_cell_length_a 4.7095
_cell_length_b 4.7095
_cell_length_c 12.1761
_cell_angle_alpha 90.00
_cell_angle_beta 90.00
_cell_angle_gamma 90.00
_symmetry_space_group_name_H-M 'I -4 2 d'
_symmetry_Int_Tables_number 122
_symmetry_space_group_name_Hall 'I -4 2bw'
loop_
_atom_site_label
_atom_site_fract_x
_atom_site_fract_y
_atom_site_fract_z
Ta1 0.1719 0.2500 0.1250
P1 0.0000 0.0000 0.5000
O1 0.0000 0.0000 0.0000
```



Entry 6:
Compound: ThPRhO
Source: the Alexandria database
Functional: GGA-PBE
Structure: optimized geometry

Properties
- Size of the total moment: 0.0 μB/f.u.
- Formation energy (no corrections): -2.14 eV/atom

Geometry as CIF:
```
data_ThPRhO
_chemical_formula_sum 'Th2 P2 Rh2 O2'
_cell_length_a 3.9433
_cell_length_b 3.9433
_cell_length_c 8.3597
_cell_angle_alpha 90.00
_cell_angle_beta 90.00
_cell_angle_gamma 90.00
_symmetry_space_group_name_H-M 'P 4/n m m'
_symmetry_Int_Tables_number 129
loop_
_symmetry_equiv_pos_as_xyz
'x,y,z'
'-x,-y,-z'
'-y+1/2,x,z'
'y+1/2,-x,-z'
'-x+1/2,-y+1/2,z'
'x+1/2,y+1/2,-z'
'y,-x+1/2,z'
'-y,x+1/2,-z'
'x+1/2,-y,-z'
'-x+1/2,y,z'
'-y,-x,-z'
'y,x,z'
'-x,y+1/2,-z'
'x,-y+1/2,z'
'y+1/2,x+1/2,-z'
'-y+1/2,-x+1/2,z'
loop_
_atom_site_label
_atom_site_fract_x
_atom_site_fract_y
_atom_site_fract_z
Th1 0.2500 0.2500 0.1643
P1 0.2500 0.2500 0.6633
Rh1 0.2500 0.7500 0.5000
O1 0.2500 0.7500 0.0000
```



Entry 7:
Compound: PaCoNiSn
Source: the Alexandria database
Functional: GGA-PBE
Structure: optimized geometry

Properties
- Size of the total moment: 0.4 μB/f.u.
- Formation energy: -0.300 eV per atom

Geometry as CIF:
```
data_PaCoNiSn
_chemical_formula_sum 'Pa4 Co4 Ni4 Sn4'
_cell_length_a 6.5284
_cell_length_b 6.5284
_cell_length_c 6.5284
_cell_angle_alpha 90.00
_cell_angle_beta 90.00
_cell_angle_gamma 90.00
_symmetry_space_group_name_H-M 'F -4 3 m'
_symmetry_Int_Tables_number 216
_symmetry_space_group_name_Hall 'F -4 2 3'
loop_
_atom_site_label
_atom_site_fract_x
_atom_site_fract_y
_atom_site_fract_z
Pa1 0.0000 0.0000 0.0000
Co1 0.2500 0.2500 0.2500
Ni1 0.2500 0.2500 0.7500
Sn1 0.0000 0.0000 0.5000
```



Entry 8:
Compound: ThCd2Ge
Source: the Alexandria database
Functional: GGA-PBE
Structure: optimized geometry

Properties
- Energy above the lowest structure with this stoichiometry: 0.000 eV/atom
- Size of the total moment: 0.0 μB/f.u.
- Formation energy: -0.321 eV per atom

Geometry as CIF:
```
data_ThCd2Ge
_chemical_formula_sum 'Th1 Cd2 Ge1'
_cell_length_a 4.3600
_cell_length_b 4.3600
_cell_length_c 5.1321
_cell_angle_alpha 90.00
_cell_angle_beta 90.00
_cell_angle_gamma 90.00
_symmetry_space_group_name_H-M 'P 4/m m m'
_symmetry_Int_Tables_number 123
_symmetry_space_group_name_Hall '-P 4 2'
loop_
_atom_site_label
_atom_site_fract_x
_atom_site_fract_y
_atom_site_fract_z
Th1 0.0000 0.0000 0.0000
Cd1 0.0000 0.5000 0.5000
Ge1 0.5000 0.5000 0.0000
```



Entry 9:
Compound: ScCuRh2
Source: the Alexandria database
Functional: GGA-PBE
Structure: optimized geometry

Properties
- Size of the total moment: 0.0 μB/f.u.
- Formation energy: -0.436 eV per atom

Geometry as CIF:
```
data_ScCuRh2
_chemical_formula_sum 'Sc2 Cu2 Rh4'
_cell_length_a 9.7912
_cell_length_b 3.0353
_cell_length_c 4.4716
_cell_angle_alpha 90.00
_cell_angle_beta 114.96
_cell_angle_gamma 90.00
_symmetry_space_group_name_H-M 'C 1 m 1'
_symmetry_Int_Tables_number 8
loop_
_symmetry_equiv_pos_as_xyz
'x,y,z'
'x,-y,z'
'x+1/2,y+1/2,z'
'x+1/2,-y+1/2,z'
loop_
_atom_site_label
_atom_site_fract_x
_atom_site_fract_y
_atom_site_fract_z
Sc1 0.0000 0.0000 0.0000
Cu1 0.2590 0.5000 0.3832
Rh1 0.0007 0.5000 0.4858
Rh2 0.2437 0.0000 0.8729
```



Entry 10:
Compound: Pm3PrSc
Source: the Alexandria database
Functional: GGA-PBE
Structure: optimized geometry

Properties
- Size of the total moment: 0.0 μB/f.u.
- Formation energy: 0.048 eV per atom

Geometry as CIF:
```
data_Pm3PrSc
_chemical_formula_sum 'Pm6 Pr2 Sc2'
_cell_length_a 6.2952
_cell_length_b 6.7938
_cell_length_c 9.2951
_cell_angle_alpha 108.32
_cell_angle_beta 90.01
_cell_angle_gamma 117.49
_symmetry_space_group_name_H-M 'P -1'
_symmetry_Int_Tables_number 2
loop_
_symmetry_equiv_pos_as_xyz
'x,y,z'
'-x,-y,-z'
loop_
_atom_site_label
_atom_site_fract_x
_atom_site_fract_y
_atom_site_fract_z
Pm1 0.0810 0.3114 0.0515
Pm2 0.1349 0.0914 0.3489
Pm3 0.2689 0.6888 0.4490
Pr1 0.4554 0.0896 0.8477
Sc1 0.3327 0.4979 0.7482
```



Entry 11:
Compound: HfIrO2F
Source: the Alexandria database
Functional: GGA-PBE
Structure: optimized geometry

Properties
- Size of the total moment: 0.0 μB/f.u.
- Formation energy (no corrections): -0.37 eV/atom

Geometry as CIF:
```
data_HfIrO2F
_chemical_formula_sum 'Hf1 Ir1 O2 F1'
_cell_length_a 3.9800
_cell_length_b 3.9800
_cell_length_c 4.1812
_cell_angle_alpha 90.00
_cell_angle_beta 90.00
_cell_angle_gamma 90.00
_symmetry_space_group_name_H-M 'P 4/m m m'
_symmetry_Int_Tables_number 123
_symmetry_space_group_name_Hall '-P 4 2'
loop_
_atom_site_label
_atom_site_fract_x
_atom_site_fract_y
_atom_site_fract_z
Hf1 0.0000 0.0000 0.0000
Ir1 0.5000 0.5000 0.5000
O1 0.0000 0.5000 0.5000
F1 0.5000 0.5000 0.0000
```



Entry 12:
Compound: K4Rb8Au3
Source: the Alexandria database
Functional: GGA-PBE
Structure: optimized geometry

Properties
- Size of the total moment: 0.0 μB/f.u.
- Formation energy: -0.100 eV per atom

Geometry as CIF:
```
data_K4Rb8Au3
_chemical_formula_sum 'K4 Rb8 Au3'
_cell_length_a 6.1612
_cell_length_b 6.1612
_cell_length_c 23.8835
_cell_angle_alpha 90.00
_cell_angle_beta 90.00
_cell_angle_gamma 90.00
_symmetry_space_group_name_H-M 'P -4 m 2'
_symmetry_Int_Tables_number 115
loop_
_symmetry_equiv_pos_as_xyz
'x,y,z'
'y,-x,-z'
'-x,-y,z'
'-y,x,-z'
'-x,y,z'
'-y,-x,-z'
'x,-y,z'
'y,x,-z'
loop_
_atom_site_label
_atom_site_fract_x
_atom_site_fract_y
_atom_site_fract_z
K1 0.0000 0.5000 0.0746
K2 0.0000 0.5000 0.5799
Rb1 0.0000 0.0000 0.2504
Rb2 0.0000 0.5000 0.4150
Rb3 0.0000 0.5000 0.9176
Rb4 0.5000 0.5000 0.2455
Au1 0.0000 0.0000 0.0000
Au2 0.0000 0.0000 0.5000
Au3 0.5000 0.5000 0.0000
```



Entry 13:
Compound: Ho4GePS2
Source: the Alexandria database
Functional: GGA-PBE
Structure: optimized geometry

Properties
- Size of the total moment: 0.0 μB/f.u.
- Formation energy (no corrections): -1.67 eV/atom

Geometry as CIF:
```
data_Ho4GePS2
_chemical_formula_sum 'Ho4 Ge1 P1 S2'
_cell_length_a 6.8923
_cell_length_b 3.9916
_cell_length_c 6.9127
_cell_angle_alpha 90.00
_cell_angle_beta 109.49
_cell_angle_gamma 90.00
_symmetry_space_group_name_H-M 'P 1 2/m 1'
_symmetry_Int_Tables_number 10
loop_
_symmetry_equiv_pos_as_xyz
'x,y,z'
'-x,-y,-z'
'-x,y,-z'
'x,-y,z'
loop_
_atom_site_label
_atom_site_fract_x
_atom_site_fract_y
_atom_site_fract_z
Ho1 0.2429 0.0000 0.2461
Ho2 0.2462 0.5000 0.7506
Ge1 0.0000 0.0000 0.5000
P1 0.0000 0.5000 0.0000
S1 0.5000 0.0000 0.0000
S2 0.5000 0.5000 0.5000
```



Entry 14:
Compound: NdPbBr2
Source: the Alexandria database
Functional: GGA-PBE
Structure: optimized geometry

Properties
- Size of the total moment: 0.0 μB/f.u.
- Formation energy (no corrections): -0.65 eV/atom

Geometry as CIF:
```
data_NdPbBr2
_chemical_formula_sum 'Nd3 Pb3 Br6'
_cell_length_a 3.8094
_cell_length_b 3.8094
_cell_length_c 32.7011
_cell_angle_alpha 90.00
_cell_angle_beta 90.00
_cell_angle_gamma 120.00
_symmetry_space_group_name_H-M 'R -3 m'
_symmetry_Int_Tables_number 166
_symmetry_space_group_name_Hall '-R 3 2"'
loop_
_atom_site_label
_atom_site_fract_x
_atom_site_fract_y
_atom_site_fract_z
Nd1 0.0000 0.0000 0.0000
Pb1 0.0000 0.0000 0.5000
Br1 0.0000 0.0000 0.0860
```